Material: PIr2Br
Method: DFT, PBE
State: optimized geometry

a b c (Å): 6.108 6.765 3.005
angles (deg): 90.00 90.00 90.00
Sites, in units of the cell vectors:
P  0.000  0.000  0.000
P  0.500  0.500  0.000
Ir  0.250  0.250  0.500
Ir  0.250  0.750  0.500
Ir  0.750  0.250  0.500
Ir  0.750  0.750  0.500
Br  0.000  0.500  0.000
Br  0.500  0.000  0.000

Calculated values
calculated volume: 124 Å³/cell
space group: Cmmm
formation energy without anion corrections: 0.89 eV per atom
distance to the lowest polymorph of the same formula: 763 meV per atom
size of the total moment: 0.0 μB/f.u.


Material: P2IrBr
Method: DFT, PBE
State: optimized geometry

a b c (Å): 6.511 3.750 7.308
angles (deg): 90.00 107.33 90.00
Sites, in units of the cell vectors:
P  0.119  0.000  0.355
P  0.381  0.500  0.645
P  0.619  0.500  0.355
P  0.881  0.000  0.645
Ir  0.000  0.500  0.500
Ir  0.500  0.000  0.500
Br  0.000  0.000  0.000
Br  0.500  0.500  0.000

Calculated values
calculated volume: 170 Å³/cell
space group: C2/m
formation energy without anion corrections: -0.21 eV per atom
distance to the lowest polymorph of the same formula: 0 meV per atom
size of the total moment: 0.0 μB/f.u.


Material: PIr2Br
Method: DFT, PBE
State: optimized geometry

a b c (Å): 2.870 4.327 5.160
angles (deg): 90.00 90.00 90.00
Sites, in units of the cell vectors:
P  0.000  0.000  0.000
Ir  0.000  0.500  0.500
Ir  0.500  0.500  0.000
Br  0.500  0.000  0.500

Calculated values
calculated volume: 64 Å³/cell
space group: Pmmm
formation energy without anion corrections: 0.88 eV per atom
distance to the lowest polymorph of the same formula: 750 meV per atom
size of the total moment: 0.0 μB/f.u.


Material: PIr2Br
Method: DFT, PBE
State: optimized geometry

a b c (Å): 2.935 3.597 7.486
angles (deg): 90.00 90.00 90.00
Sites, in units of the cell vectors:
P  0.000  0.000  0.000
Ir  0.000  0.000  0.692
Ir  0.500  0.500  0.907
Br  0.500  0.500  0.459

Calculated values
calculated volume: 79 Å³/cell
space group: Pmm2
formation energy without anion corrections: 0.38 eV per atom
distance to the lowest polymorph of the same formula: 254 meV per atom
size of the total moment: 0.0 μB/f.u.


Material: P2IrBr
Method: DFT, PBE
State: optimized geometry

a b c (Å): 3.034 6.215 9.032
angles (deg): 90.00 90.00 90.00
Sites, in units of the cell vectors:
P  0.000  0.000  0.000
P  0.000  0.500  0.172
P  0.500  0.000  0.172
P  0.500  0.500  0.000
Ir  0.000  0.000  0.368
Ir  0.500  0.500  0.368
Br  0.000  0.500  0.603
Br  0.500  0.000  0.603

Calculated values
calculated volume: 170 Å³/cell
space group: Cmm2
formation energy without anion corrections: 0.58 eV per atom
distance to the lowest polymorph of the same formula: 789 meV per atom
size of the total moment: 0.0 μB/f.u.


Material: PIr2Br
Method: DFT, PBE
State: optimized geometry

a b c (Å): 2.979 2.979 7.276
angles (deg): 90.00 90.00 90.00
Sites, in units of the cell vectors:
P  0.000  0.000  0.000
Ir  0.500  0.500  0.186
Ir  0.500  0.500  0.814
Br  0.000  0.000  0.500

Calculated values
calculated volume: 65 Å³/cell
space group: P4/mmm
formation energy without anion corrections: 0.46 eV per atom
distance to the lowest polymorph of the same formula: 335 meV per atom
size of the total moment: 0.0 μB/f.u.


Material: PIr2Br
Method: DFT, PBE
State: optimized geometry

a b c (Å): 7.631 2.993 7.675
angles (deg): 90.00 107.74 90.00
Sites, in units of the cell vectors:
P  0.000  0.000  0.000
P  0.500  0.500  0.000
Ir  0.020  0.500  0.297
Ir  0.235  0.500  0.071
Ir  0.520  0.000  0.297
Ir  0.735  0.000  0.071
Br  0.295  0.000  0.501
Br  0.795  0.500  0.501

Calculated values
calculated volume: 167 Å³/cell
space group: Cm
formation energy without anion corrections: 0.16 eV per atom
distance to the lowest polymorph of the same formula: 32 meV per atom
size of the total moment: 0.0 μB/f.u.


Material: P2IrBr
Method: DFT, PBE
State: optimized geometry

a b c (Å): 6.344 6.344 6.344
angles (deg): 90.00 90.00 90.00
Sites, in units of the cell vectors:
P  0.250  0.250  0.250
P  0.250  0.250  0.750
P  0.250  0.750  0.250
P  0.250  0.750  0.750
P  0.750  0.250  0.250
P  0.750  0.250  0.750
P  0.750  0.750  0.250
P  0.750  0.750  0.750
Ir  0.000  0.000  0.000
Ir  0.000  0.500  0.500
Ir  0.500  0.000  0.500
Ir  0.500  0.500  0.000
Br  0.000  0.000  0.500
Br  0.000  0.500  0.000
Br  0.500  0.000  0.000
Br  0.500  0.500  0.500

Calculated values
calculated volume: 255 Å³/cell
space group: Fm-3m
formation energy without anion corrections: 0.88 eV per atom
distance to the lowest polymorph of the same formula: 1090 meV per atom
size of the total moment: 0.0 μB/f.u.


Number 1: calculated total energy -5.310 eV/atom. Number 2: calculated total energy -5.545 eV/atom. Number 3: calculated total energy -5.324 eV/atom. Number 4: calculated total energy -5.820 eV/atom. Number 5: calculated total energy -4.756 eV/atom. Number 6: calculated total energy -5.739 eV/atom. Number 7: calculated total energy -6.042 eV/atom. Number 8: calculated total energy -4.456 eV/atom.